[1]
Material: Pm3Nd3Ge4
Method: DFT, PBE
State: relaxed

a = 4.3105 Å, b = 11.1510 Å, c = 11.1536 Å
α = 90.00°, β = 90.00°, γ = 90.00°
With the nearest neighbours (Å) after each atom.
Space group Amm2 (No. 38)
Inequivalent atoms, fractional coordinates:
Pm (0.0000, 0.0000, 0.0000) [2 per cell]  6 Ge 3.14-3.19
Pm (0.0000, 0.1731, 0.6741) [4 per cell]  6 Ge 3.15-3.19
Nd (0.0000, 0.0000, 0.3470) [2 per cell]  6 Ge 3.16-3.20
Nd (0.5000, 0.2496, 0.4235) [4 per cell]  4 Ge 3.13-3.14
Ge (0.5000, 0.0000, 0.5545) [2 per cell]  1 Ge 2.68
Ge (0.5000, 0.0000, 0.7948) [2 per cell]  1 Ge 2.68
Ge (0.5000, 0.1211, 0.1726) [4 per cell]  1 Ge 2.70

Summary:
VASP energy: -108.74 eV per cell
ΔH_f (0 K): -0.735 eV per atom



[2]
Material: PmNd2Ge4
Method: DFT, PBE
State: relaxed

a = 4.1068 Å, b = 4.4224 Å, c = 18.6082 Å
α = 90.00°, β = 90.00°, γ = 90.00°
With the nearest neighbours (Å) after each atom.
Space group Immm (No. 71)
Inequivalent atoms, fractional coordinates:
Pm (0.0000, 0.0000, 0.0000) [2 per cell]  12 Ge 3.26-3.64
Nd (0.0000, 0.5000, 0.3194) [4 per cell]  7 Ge 3.05-3.07
Ge (0.0000, 0.0000, 0.4337) [4 per cell]  3 Ge 2.47-2.64
Ge (0.0000, 0.5000, 0.1552) [4 per cell]  2 Ge 2.64

Summary:
VASP energy: -75.95 eV per cell
ΔH_f (0 K): -0.746 eV per atom